Computed, not measured: a relaxed structure of La2B4Ir3Pd2 at the PBE level of DFT.

- ρ: 11.280 g/cm³
- Symmetry: Fmmm
- Total energy: -7.296 eV/atom
- Total magnetization: 0.00 μB per formula unit

abc: 7.731 6.282 5.944
angles: 78.38 52.75 48.87
Atoms (fractional coordinates):
B (0.289, 0.984, 0.016)
B (0.016, 0.711, 0.289)
B (0.984, 0.289, 0.711)
B (0.711, 0.016, 0.984)
Ir (0.000, 0.000, 0.000)
Ir (0.250, 0.250, 0.250)
Ir (0.750, 0.750, 0.750)
La (0.647, 0.647, 0.353)
La (0.353, 0.353, 0.647)
Pd (0.500, 0.500, 0.000)
Pd (0.000, 0.000, 0.500)

***

Computed, not measured: a relaxed structure of FeAgSnHg at the PBE level of DFT.

- ρ: 10.518 g/cm³
- Symmetry: F-43m
- Total magnetization: 2.43 μB per formula unit
- Relative energy among the computed polymorphs: 0.000 eV/atom

abc: 4.760 4.760 4.760
angles: 60.00 60.00 60.00
Atoms (fractional coordinates):
Ag (0.250, 0.250, 0.250)
Fe (0.750, 0.750, 0.750)
Hg (0.500, 0.500, 0.500)
Sn (0.000, 0.000, 0.000)

***

Computed, not measured: a relaxed structure of TbTaN2O at the PBE level of DFT.

- ρ: 9.781 g/cm³
- Symmetry: Pmc2_1
- Total energy: -9.561 eV/atom
- Total magnetization: 0.00 μB per formula unit

abc: 3.695 6.127 5.758
angles: 90.00 90.00 90.00
Atoms (fractional coordinates):
N (0.000, 0.595, 0.081)
N (0.500, 0.208, 0.288)
N (0.000, 0.405, 0.581)
N (0.500, 0.792, 0.788)
O (0.000, 0.902, 0.462)
O (0.000, 0.098, 0.962)
Ta (0.000, 0.316, 0.230)
Ta (0.000, 0.684, 0.730)
Tb (0.500, 0.838, 0.190)
Tb (0.500, 0.162, 0.690)

***

total magnetization of number 1 (La2B4Ir3Pd2)? 0.00 μB per formula unit